Entry 1:
DFT (SCAN) results for Cr2CdPb at its PBEsol-relaxed geometry.

Geometry as CIF:
```
data_Cr2CdPb
_chemical_formula_sum 'Cr2 Cd1 Pb1'
_symmetry_space_group_name_H-M 'P 1'
_symmetry_Int_Tables_number 1
_cell_length_a 4.864
_cell_length_b 4.864
_cell_length_c 4.864
_cell_angle_alpha 60.00
_cell_angle_beta 60.00
_cell_angle_gamma 60.00
loop_
_symmetry_equiv_pos_as_xyz
'x,y,z'
loop_
_atom_site_label
_atom_site_type_symbol
_atom_site_fract_x
_atom_site_fract_y
_atom_site_fract_z
_atom_site_occupancy
Pb1 Pb 0.250 0.250 0.250 1
Cd1 Cd 0.500 0.500 0.500 1
Cr1 Cr 0.000 0.000 0.000 1
Cr2 Cr 0.750 0.750 0.750 1
```

* formation enthalpy at 0 K: 0.411 eV/atom
* SG: No. 216
* calculated volume: 81 Å³/cell



Entry 2:
DFT (SCAN) results for Zr2CuAu at its PBEsol-relaxed geometry.

Geometry as CIF:
```
data_Zr2CuAu
_chemical_formula_sum 'Zr2 Cu1 Au1'
_symmetry_space_group_name_H-M 'P 1'
_symmetry_Int_Tables_number 1
_cell_length_a 4.045
_cell_length_b 4.185
_cell_length_c 4.185
_cell_angle_alpha 90.00
_cell_angle_beta 90.00
_cell_angle_gamma 90.00
loop_
_symmetry_equiv_pos_as_xyz
'x,y,z'
loop_
_atom_site_label
_atom_site_type_symbol
_atom_site_fract_x
_atom_site_fract_y
_atom_site_fract_z
_atom_site_occupancy
Zr1 Zr 0.000 0.500 0.000 1
Zr2 Zr 0.000 0.000 0.500 1
Au1 Au 0.500 0.500 0.500 1
Cu1 Cu 0.500 0.000 0.000 1
```

* formation enthalpy at 0 K: -0.410 eV/atom
* SG: No. 123
* calculated volume: 71 Å³/cell



Entry 3:
DFT (SCAN) results for SiAgP at its PBEsol-relaxed geometry.

Geometry as CIF:
```
data_SiAgP
_chemical_formula_sum 'Si1 Ag1 P1'
_symmetry_space_group_name_H-M 'P 1'
_symmetry_Int_Tables_number 1
_cell_length_a 3.380
_cell_length_b 3.376
_cell_length_c 6.046
_cell_angle_alpha 123.80
_cell_angle_beta 106.53
_cell_angle_gamma 60.10
loop_
_symmetry_equiv_pos_as_xyz
'x,y,z'
loop_
_atom_site_label
_atom_site_type_symbol
_atom_site_fract_x
_atom_site_fract_y
_atom_site_fract_z
_atom_site_occupancy
Ag1 Ag 0.003 0.990 0.994 1
Si1 Si 0.668 0.290 0.623 1
P1 P 0.329 0.720 0.383 1
```

* SG: No. 1
* raw formation energy: 0.3 eV/f.u.
* calculated volume: 50 Å³/cell



Entry 4:
DFT (SCAN) results for Sr3PdPt at its PBEsol-relaxed geometry.

Geometry as CIF:
```
data_Sr3PdPt
_chemical_formula_sum 'Sr3 Pd1 Pt1'
_symmetry_space_group_name_H-M 'P 1'
_symmetry_Int_Tables_number 1
_cell_length_a 5.564
_cell_length_b 5.564
_cell_length_c 5.564
_cell_angle_alpha 90.00
_cell_angle_beta 90.00
_cell_angle_gamma 90.00
loop_
_symmetry_equiv_pos_as_xyz
'x,y,z'
loop_
_atom_site_label
_atom_site_type_symbol
_atom_site_fract_x
_atom_site_fract_y
_atom_site_fract_z
_atom_site_occupancy
Sr1 Sr 0.000 0.500 0.000 1
Sr2 Sr 0.000 0.000 0.500 1
Sr3 Sr 0.500 0.000 0.000 1
Pd1 Pd 0.000 0.000 0.000 1
Pt1 Pt 0.500 0.500 0.500 1
```

* formation enthalpy at 0 K: -0.123 eV/atom
* SG: No. 221
* calculated volume: 172 Å³/cell



Entry 5:
DFT (SCAN) results for V3Cr3Te2O16 at its PBEsol-relaxed geometry.

Geometry as CIF:
```
data_V3Cr3Te2O16
_chemical_formula_sum 'V3 Cr3 Te2 O16'
_symmetry_space_group_name_H-M 'P 1'
_symmetry_Int_Tables_number 1
_cell_length_a 5.723
_cell_length_b 5.731
_cell_length_c 10.549
_cell_angle_alpha 90.27
_cell_angle_beta 90.61
_cell_angle_gamma 120.21
loop_
_symmetry_equiv_pos_as_xyz
'x,y,z'
loop_
_atom_site_label
_atom_site_type_symbol
_atom_site_fract_x
_atom_site_fract_y
_atom_site_fract_z
_atom_site_occupancy
O1 O 0.838 0.162 0.110 1
O2 O 0.354 0.676 0.120 1
O3 O 0.031 0.515 0.308 1
O4 O 0.839 0.673 0.110 1
O5 O 0.979 0.494 0.818 1
O6 O 0.681 0.348 0.612 1
O7 O 0.339 0.168 0.119 1
O8 O 0.156 0.834 0.605 1
O9 O 0.516 0.022 0.806 1
O10 O 0.499 0.978 0.324 1
O11 O 0.158 0.334 0.609 1
O12 O 0.666 0.838 0.603 1
O13 O 0.525 0.500 0.810 1
O14 O 0.998 0.997 0.790 1
O15 O 0.991 0.995 0.298 1
O16 O 0.499 0.521 0.323 1
Te1 Te 0.320 0.663 0.511 1
Te2 Te 0.668 0.331 0.022 1
Cr1 Cr 0.168 0.343 0.216 1
Cr2 Cr 0.168 0.823 0.216 1
Cr3 Cr 0.341 0.178 0.702 1
V1 V 0.829 0.641 0.733 1
V2 V 0.794 0.146 0.714 1
V3 V 0.640 0.820 0.238 1
```

* SG: No. 1
* raw formation energy: -49.4 eV/f.u.
* calculated volume: 299 Å³/cell



Entry 6:
DFT (SCAN) results for KTlP3 at its PBEsol-relaxed geometry.

Geometry as CIF:
```
data_KTlP3
_chemical_formula_sum 'K1 Tl1 P3'
_symmetry_space_group_name_H-M 'P 1'
_symmetry_Int_Tables_number 1
_cell_length_a 5.227
_cell_length_b 5.227
_cell_length_c 5.227
_cell_angle_alpha 90.00
_cell_angle_beta 90.00
_cell_angle_gamma 90.00
loop_
_symmetry_equiv_pos_as_xyz
'x,y,z'
loop_
_atom_site_label
_atom_site_type_symbol
_atom_site_fract_x
_atom_site_fract_y
_atom_site_fract_z
_atom_site_occupancy
P1 P 0.000 0.000 0.500 1
P2 P 0.500 0.000 0.000 1
P3 P 0.000 0.500 0.000 1
K1 K 0.000 0.000 0.000 1
Tl1 Tl 0.500 0.500 0.500 1
```

* formation enthalpy at 0 K: 1.758 eV/atom
* SG: No. 221
* calculated volume: 143 Å³/cell



Entry 7:
DFT (SCAN) results for InRh3Se at its PBEsol-relaxed geometry.

Geometry as CIF:
```
data_InRh3Se
_chemical_formula_sum 'In1 Rh3 Se1'
_symmetry_space_group_name_H-M 'P 1'
_symmetry_Int_Tables_number 1
_cell_length_a 4.504
_cell_length_b 4.504
_cell_length_c 4.504
_cell_angle_alpha 90.00
_cell_angle_beta 90.00
_cell_angle_gamma 90.00
loop_
_symmetry_equiv_pos_as_xyz
'x,y,z'
loop_
_atom_site_label
_atom_site_type_symbol
_atom_site_fract_x
_atom_site_fract_y
_atom_site_fract_z
_atom_site_occupancy
Se1 Se 0.000 0.000 0.000 1
In1 In 0.500 0.500 0.500 1
Rh1 Rh 0.000 0.000 0.500 1
Rh2 Rh 0.500 0.000 0.000 1
Rh3 Rh 0.000 0.500 0.000 1
```

* SG: No. 221
* raw formation energy: 1.4 eV/f.u.
* energy above the lowest structure with this stoichiometry: 0.0 meV per atom
* calculated volume: 91 Å³/cell



Entry 8:
DFT (SCAN) results for SrLiRe at its PBEsol-relaxed geometry.

Geometry as CIF:
```
data_SrLiRe
_chemical_formula_sum 'Sr1 Li1 Re1'
_symmetry_space_group_name_H-M 'P 1'
_symmetry_Int_Tables_number 1
_cell_length_a 2.691
_cell_length_b 4.343
_cell_length_c 5.724
_cell_angle_alpha 112.30
_cell_angle_beta 103.60
_cell_angle_gamma 90.00
loop_
_symmetry_equiv_pos_as_xyz
'x,y,z'
loop_
_atom_site_label
_atom_site_type_symbol
_atom_site_fract_x
_atom_site_fract_y
_atom_site_fract_z
_atom_site_occupancy
Li1 Li 0.035 0.035 0.071 1
Re1 Re 0.638 0.638 0.275 1
Sr1 Sr 0.327 0.327 0.654 1
```

* formation enthalpy at 0 K: 0.920 eV/atom
* SG: No. 44
* energy above the lowest structure with this stoichiometry: 0.0 meV per atom
* calculated volume: 60 Å³/cell



Entry 9:
DFT (SCAN) results for ZrCr2Os at its PBEsol-relaxed geometry.

Geometry as CIF:
```
data_ZrCr2Os
_chemical_formula_sum 'Zr1 Cr2 Os1'
_symmetry_space_group_name_H-M 'P 1'
_symmetry_Int_Tables_number 1
_cell_length_a 4.312
_cell_length_b 4.312
_cell_length_c 4.312
_cell_angle_alpha 60.00
_cell_angle_beta 60.00
_cell_angle_gamma 60.00
loop_
_symmetry_equiv_pos_as_xyz
'x,y,z'
loop_
_atom_site_label
_atom_site_type_symbol
_atom_site_fract_x
_atom_site_fract_y
_atom_site_fract_z
_atom_site_occupancy
Zr1 Zr 0.750 0.750 0.750 1
Cr1 Cr 0.000 0.000 0.000 1
Cr2 Cr 0.250 0.250 0.250 1
Os1 Os 0.500 0.500 0.500 1
```

* formation enthalpy at 0 K: -0.115 eV/atom
* SG: No. 216
* energy above the lowest structure with this stoichiometry: 0.0 meV per atom
* calculated volume: 57 Å³/cell



Entry 10:
DFT (SCAN) results for LiMgHg2Pd at its PBEsol-relaxed geometry.

Geometry as CIF:
```
data_LiMgHg2Pd
_chemical_formula_sum 'Li1 Mg1 Hg2 Pd1'
_symmetry_space_group_name_H-M 'P 1'
_symmetry_Int_Tables_number 1
_cell_length_a 4.338
_cell_length_b 4.665
_cell_length_c 4.665
_cell_angle_alpha 90.00
_cell_angle_beta 90.00
_cell_angle_gamma 90.00
loop_
_symmetry_equiv_pos_as_xyz
'x,y,z'
loop_
_atom_site_label
_atom_site_type_symbol
_atom_site_fract_x
_atom_site_fract_y
_atom_site_fract_z
_atom_site_occupancy
Hg1 Hg 0.000 0.000 0.500 1
Hg2 Hg 0.000 0.500 0.000 1
Mg1 Mg 0.500 0.500 0.500 1
Pd1 Pd 0.500 0.000 0.000 1
Li1 Li 0.000 0.000 0.000 1
```

* formation enthalpy at 0 K: 0.025 eV/atom
* SG: No. 123
* calculated volume: 94 Å³/cell



Entry 11:
DFT (SCAN) results for La4Zn at its PBEsol-relaxed geometry.

Geometry as CIF:
```
data_La4Zn
_chemical_formula_sum 'La4 Zn1'
_symmetry_space_group_name_H-M 'P 1'
_symmetry_Int_Tables_number 1
_cell_length_a 4.846
_cell_length_b 5.984
_cell_length_c 5.984
_cell_angle_alpha 80.56
_cell_angle_beta 66.11
_cell_angle_gamma 66.11
loop_
_symmetry_equiv_pos_as_xyz
'x,y,z'
loop_
_atom_site_label
_atom_site_type_symbol
_atom_site_fract_x
_atom_site_fract_y
_atom_site_fract_z
_atom_site_occupancy
La1 La 0.796 0.817 0.590 1
La2 La 0.204 0.183 0.410 1
La3 La 0.387 0.410 0.817 1
La4 La 0.613 0.590 0.183 1
Zn1 Zn 0.000 0.000 0.000 1
```

* formation enthalpy at 0 K: -0.071 eV/atom
* SG: No. 87
* calculated volume: 145 Å³/cell



Entry 12:
DFT (SCAN) results for Li2TlHg at its PBEsol-relaxed geometry.

Geometry as CIF:
```
data_Li2TlHg
_chemical_formula_sum 'Li2 Tl1 Hg1'
_symmetry_space_group_name_H-M 'P 1'
_symmetry_Int_Tables_number 1
_cell_length_a 4.792
_cell_length_b 4.792
_cell_length_c 4.792
_cell_angle_alpha 60.00
_cell_angle_beta 60.00
_cell_angle_gamma 60.00
loop_
_symmetry_equiv_pos_as_xyz
'x,y,z'
loop_
_atom_site_label
_atom_site_type_symbol
_atom_site_fract_x
_atom_site_fract_y
_atom_site_fract_z
_atom_site_occupancy
Li1 Li 0.250 0.250 0.250 1
Li2 Li 0.000 0.000 0.000 1
Tl1 Tl 0.750 0.750 0.750 1
Hg1 Hg 0.500 0.500 0.500 1
```

* formation enthalpy at 0 K: -0.356 eV/atom
* SG: No. 216
* calculated volume: 78 Å³/cell



The records above yield total DFT energy (no corrections) values of -1.29837, -1.35416, -0.63013, -1.25247, -0.50718, -0.75774, -1.12726, -1.13925, -1.28448, -1.29610, -1.36923, -1.34803 hartree per atom, respectively.